No. 1
! FeP (PBE-GGA, relaxed); values from VASP
! - total DFT energy (no corrections) (eV for the cell shown) = -59.7
! - symmetry = Pnma, No. 62
&SYSTEM
  ibrav = 0, nat = 8, ntyp = 2
/
ATOMIC_SPECIES
P 30.97 P.upf
Fe 55.84 Fe.upf
ATOMIC_POSITIONS crystal
P 0.309 0.750 0.067
P 0.809 0.750 0.433
P 0.691 0.250 0.933
P 0.191 0.250 0.567
Fe 0.499 0.750 0.701
Fe 0.999 0.750 0.799
Fe 0.001 0.250 0.201
Fe 0.501 0.250 0.299
CELL_PARAMETERS angstrom
-0.913 1.807 4.723
2.449 -1.475 1.038
3.249 4.597 -1.131

***

No. 2
! Fe2P3 (PBE-GGA, relaxed); values from VASP
! - total DFT energy (no corrections) (eV for the cell shown) = -69.2
! - symmetry = R-3c, No. 167
&SYSTEM
  ibrav = 0, nat = 10, ntyp = 2
/
ATOMIC_SPECIES
P 30.97 P.upf
Fe 55.84 Fe.upf
ATOMIC_POSITIONS crystal
P 0.250 0.095 0.250
P 0.405 0.250 0.750
P 0.905 0.405 0.250
P 0.095 0.595 0.750
Fe 0.335 0.665 0.995
P 0.595 0.750 0.250
Fe 0.165 0.835 0.505
P 0.750 0.905 0.750
Fe 0.665 0.335 0.005
Fe 0.835 0.165 0.495
CELL_PARAMETERS angstrom
3.775 2.846 3.032
-5.035 2.256 -1.051
1.204 -1.794 5.387

***

No. 3
! FeP (PBE-GGA, relaxed); values from VASP
! - total DFT energy (no corrections) (eV for the cell shown) = -59.7
! - symmetry = Pnma, No. 62
&SYSTEM
  ibrav = 0, nat = 8, ntyp = 2
/
ATOMIC_SPECIES
P 30.97 P.upf
Fe 55.84 Fe.upf
ATOMIC_POSITIONS crystal
P 0.000 0.318 0.310
P 0.500 0.183 0.690
Fe 0.000 0.951 0.499
P 0.000 0.682 0.810
Fe 0.500 0.451 0.001
P 0.500 0.817 0.190
Fe 0.000 0.049 0.999
Fe 0.500 0.549 0.501
CELL_PARAMETERS angstrom
-2.437 -1.735 0.623
-0.450 -1.359 -5.550
3.068 -4.043 0.741

***

No. 4
! FeP (PBE-GGA, relaxed); values from VASP
! - total DFT energy (no corrections) (eV for the cell shown) = -56.6
! - symmetry = Pmma, No. 51
&SYSTEM
  ibrav = 0, nat = 8, ntyp = 2
/
ATOMIC_SPECIES
P 30.97 P.upf
Fe 55.84 Fe.upf
ATOMIC_POSITIONS crystal
P 0.750 0.500 0.107
Fe 0.250 0.000 0.712
P 0.250 0.000 0.354
Fe 0.500 0.500 0.500
Fe 0.750 0.000 0.288
Fe 0.000 0.500 0.500
P 0.750 0.000 0.646
P 0.250 0.500 0.893
CELL_PARAMETERS angstrom
4.511 0.000 0.000
0.000 3.698 0.000
0.000 0.000 6.382

***

No. 5
! FeP (PBE-GGA, relaxed); values from VASP
! - total DFT energy (no corrections) (eV for the cell shown) = -28.2
! - symmetry = P4/mmm, No. 123
&SYSTEM
  ibrav = 0, nat = 4, ntyp = 2
/
ATOMIC_SPECIES
P 30.97 P.upf
Fe 55.84 Fe.upf
ATOMIC_POSITIONS crystal
P 0.750 0.500 0.250
P 0.250 0.500 0.750
Fe 0.250 0.000 0.250
Fe 0.750 0.000 0.750
CELL_PARAMETERS angstrom
-3.806 0.713 0.667
-0.196 -2.371 1.414
0.936 1.900 3.315

***

No. 6
! FeP4 (PBE-GGA, relaxed); values from VASP
! - total DFT energy (no corrections) (eV for the cell shown) = -127.2
! - symmetry = C2/c, No. 15
&SYSTEM
  ibrav = 0, nat = 20, ntyp = 2
/
ATOMIC_SPECIES
P 30.97 P.upf
Fe 55.84 Fe.upf
ATOMIC_POSITIONS crystal
P 0.371 0.856 0.784
P 0.066 0.464 0.793
Fe 0.924 0.152 0.750
P 0.055 0.813 0.450
P 0.773 0.856 0.716
P 0.227 0.144 0.284
P 0.470 0.464 0.707
P 0.132 0.813 0.050
Fe 0.000 0.500 0.000
P 0.945 0.187 0.550
P 0.934 0.536 0.207
P 0.543 0.793 0.976
P 0.629 0.144 0.216
P 0.530 0.536 0.293
Fe 0.500 0.500 0.500
P 0.663 0.793 0.524
Fe 0.076 0.848 0.250
P 0.337 0.207 0.476
P 0.868 0.187 0.950
P 0.457 0.207 0.024
CELL_PARAMETERS angstrom
4.630 0.129 2.010
0.651 -2.789 5.020
2.465 -9.256 -5.558